(1)
VASP calculation (PBE) on ErTl2Zn3F12 after structural relaxation.

Cell: 6.7646 6.7646 6.7646 Å, 67.97 67.97 67.97°
Fractional coordinates of all 18 atoms:
Er 0.0000 0.0000 0.0000
Tl 0.6073 0.6073 0.6073
Tl 0.3927 0.3927 0.3927
Zn 0.5000 0.0000 0.0000
Zn 0.0000 0.5000 0.0000
Zn 0.0000 0.0000 0.5000
F 0.2432 0.2432 0.8917
F 0.8476 0.8476 0.4177
F 0.4177 0.8476 0.8476
F 0.8917 0.2432 0.2432
F 0.8476 0.4177 0.8476
F 0.2432 0.8917 0.2432
F 0.7568 0.7568 0.1083
F 0.1524 0.1524 0.5823
F 0.5823 0.1524 0.1524
F 0.1083 0.7568 0.7568
F 0.1524 0.5823 0.1524
F 0.7568 0.1083 0.7568

Properties
Total magnetic moment = 0.00 μB per formula unit

=====

(2)
VASP calculation (PBE) on ErTlZn2F8 after structural relaxation.

Cell: 5.4205 5.4205 8.6200 Å, 71.67 71.67 60.00°
Fractional coordinates of all 12 atoms:
Er 0.0000 0.0000 0.0000
Tl 0.5000 0.5000 0.5000
Zn 0.2460 0.2460 0.2619
Zn 0.7540 0.7540 0.7381
F 0.1686 0.1686 0.4941
F 0.6157 0.2624 0.1592
F 0.8314 0.8314 0.5059
F 0.9627 0.6157 0.1592
F 0.0373 0.3843 0.8408
F 0.2624 0.9627 0.1592
F 0.7376 0.0373 0.8408
F 0.3843 0.7376 0.8408

Properties
Total magnetic moment = 0.00 μB per formula unit

=====

(3)
VASP calculation (PBE) on ErTlZnF6 after structural relaxation.

Cell: 8.1417 7.6737 7.9041 Å, 119.04 121.00 90.00°
Fractional coordinates of all 18 atoms:
Er 0.5000 0.0000 0.5000
Er 0.0000 0.0000 0.5000
Tl 0.7766 0.5266 0.5533
Tl 0.2234 0.4734 0.4467
Zn 0.5000 0.5000 0.0000
Zn 0.5000 0.0000 0.0000
F 0.4486 0.6986 0.8971
F 0.8218 0.0718 0.6435
F 0.8087 0.0935 0.2665
F 0.4578 0.6730 0.2665
F 0.4578 0.0935 0.2665
F 0.8087 0.6730 0.2665
F 0.5514 0.3014 0.1029
F 0.1782 0.9282 0.3565
F 0.1913 0.9065 0.7335
F 0.5422 0.3270 0.7335
F 0.5422 0.9065 0.7335
F 0.1913 0.3270 0.7335

Properties
Total magnetic moment = 0.00 μB per formula unit

=====

(4)
VASP calculation (PBE) on ErTm2F11 after structural relaxation.

Cell: 8.2156 8.5003 8.5003 Å, 72.72 61.10 61.10°
Fractional coordinates of all 28 atoms:
Er 0.7500 0.7500 0.7500
Er 0.2500 0.2500 0.2500
Tm 0.6582 0.6891 0.3109
Tm 0.3418 0.3109 0.6891
Tm 0.8418 0.1891 0.8109
Tm 0.1582 0.8109 0.1891
F 0.6586 0.7097 0.5577
F 0.3414 0.2903 0.4423
F 0.0740 0.5577 0.7097
F 0.8414 0.9423 0.7903
F 0.9260 0.4423 0.2903
F 0.1586 0.0577 0.2097
F 0.4260 0.7903 0.9423
F 0.5740 0.2097 0.0577
F 0.5000 0.5000 0.5000
F 0.0000 0.0000 0.0000
F 0.8900 0.8035 0.1965
F 0.1100 0.1965 0.8035
F 0.6100 0.3035 0.6965
F 0.3900 0.6965 0.3035
F 0.4594 0.9718 0.3142
F 0.5406 0.0282 0.6858
F 0.2545 0.3142 0.9718
F 0.0406 0.1858 0.5282
F 0.7455 0.6858 0.0282
F 0.9594 0.8142 0.4718
F 0.2455 0.5282 0.1858
F 0.7545 0.4718 0.8142

Properties
Total magnetic moment = 2.10 μB per formula unit

=====

Going through the records in order, we get total energy values of -4.439 -4.799 -5.159 -5.918 eV/atom.
Going through the records in order, we get uncorrected formation energy values of -2463.1 -2761.4 -3000.2 -3483.3 meV per atom.